Entry 1:
Ti3TeIr | GGA-PBEsol | relaxed

Lattice parameters (Å, degrees): 4.7394 4.7394 4.7394 90.00 90.00 90.00
Element x y z (fractional)
Ir  0.0000  0.0000  0.0000
Te  0.5000  0.5000  0.5000
Ti  0.0000  0.5000  0.0000
Ti  0.0000  0.0000  0.5000
Ti  0.5000  0.0000  0.0000

## Properties
E_tot ... -7.5934 eV per atom
E_form (uncorrected) ... 0.070 eV/atom

Entry 2:
ZrMo2 | GGA-PBEsol | relaxed

Lattice parameters (Å, degrees): 5.3225 5.3225 5.3225 60.00 60.00 60.00
Element x y z (fractional)
Mo  0.6250  0.6250  0.1250
Mo  0.6250  0.1250  0.6250
Mo  0.6250  0.6250  0.6250
Mo  0.1250  0.6250  0.6250
Zr  0.2500  0.2500  0.2500
Zr  0.0000  0.0000  0.0000

## Properties
Calculated formation energy ... -0.1269 eV/atom
E_tot ... -11.0021 eV per atom

Entry 3:
ZnNiHg2 | GGA-PBEsol | relaxed

Lattice parameters (Å, degrees): 3.2700 3.2700 6.0743 90.00 90.00 90.00
Element x y z (fractional)
Hg  0.0000  0.0000  0.7621
Hg  0.0000  0.0000  0.2379
Ni  0.5000  0.5000  0.0000
Zn  0.5000  0.5000  0.5000

## Properties
Calculated formation energy ... 0.1419 eV/atom
E_tot ... -2.0764 eV per atom

Entry 4:
TaBe2Tl | GGA-PBEsol | relaxed

Lattice parameters (Å, degrees): 4.3132 4.3132 4.3132 60.00 60.00 60.00
Element x y z (fractional)
Be  0.2500  0.2500  0.2500
Be  0.7500  0.7500  0.7500
Tl  0.5000  0.5000  0.5000
Ta  0.0000  0.0000  0.0000

## Properties
Calculated formation energy ... 0.7028 eV/atom
E_tot ... -5.0925 eV per atom